This record from the Alexandria database describes a geometry-optimized ReNi2Ru structure. The functional is PBE.

Lattice parameters (Å, degrees): 4.024 2.603 4.999 75.00 90.00 90.00
Atoms (fractional coordinates):
Ru  0.500  0.801  0.772
Re  0.000  0.449  0.478
Ni  0.000  0.188  0.998
Ni  0.500  0.061  0.253

Formation enthalpy at 0 K = 59 meV/atom
Total moment = 0.001 Bohr magnetons per cell
N(E_F) = 1.124 states/eV/atom
Energy relative to the lowest polymorph listed for this composition = 57 meV per atom



This record from the Alexandria database describes a geometry-optimized Re2Ni2Ru structure. The functional is PBE.

Lattice parameters (Å, degrees): 6.815 6.815 2.847 90.00 90.00 90.00
Atoms (fractional coordinates):
Ni  0.877  0.623  0.000
Ni  0.623  0.123  0.000
Ni  0.123  0.377  0.000
Ni  0.377  0.877  0.000
Re  0.325  0.175  0.500
Re  0.825  0.325  0.500
Re  0.675  0.825  0.500
Re  0.175  0.675  0.500
Ru  0.000  0.000  0.000
Ru  0.500  0.500  0.000

Formation enthalpy at 0 K = 243 meV/atom
Total moment = 0.000 Bohr magnetons per cell
N(E_F) = 1.191 states/eV/atom



This record from the Alexandria database describes a geometry-optimized Re2NiRu structure. The functional is PBE.

Lattice parameters (Å, degrees): 2.713 2.713 7.539 90.00 90.00 90.00
Atoms (fractional coordinates):
Ni  0.500  0.500  0.753
Re  0.000  0.000  0.983
Re  0.500  0.500  0.261
Ru  0.000  0.000  0.502

Formation enthalpy at 0 K = 91 meV/atom
Total moment = 0.000 Bohr magnetons per cell
N(E_F) = 1.136 states/eV/atom
Energy relative to the lowest polymorph listed for this composition = 151 meV per atom



This record from the Alexandria database describes a geometry-optimized Re2NiRu structure. The functional is PBE.

Lattice parameters (Å, degrees): 3.114 3.114 5.757 90.00 90.00 90.00
Each line ends with the local moment (μB).
Atoms (fractional coordinates):
Ni  0.500  0.500  0.750  0.06
Re  0.000  0.000  0.965  0.03
Re  0.000  0.000  0.535  0.03
Ru  0.500  0.500  0.250  0.16

Formation enthalpy at 0 K = 302 meV/atom
Total moment = 0.283 Bohr magnetons per cell
N(E_F) = 1.463 states/eV/atom
Energy relative to the lowest polymorph listed for this composition = 362 meV per atom



This record from the Alexandria database describes a geometry-optimized Re2NiRu structure. The functional is PBE.

Lattice parameters (Å, degrees): 5.450 5.450 6.601 65.62 65.62 90.00
Atoms (fractional coordinates):
Ru  0.750  0.250  0.500
Ru  0.000  0.000  0.000
Ni  0.250  0.750  0.500
Ni  0.500  0.500  0.000
Re  0.607  0.125  0.250
Re  0.143  0.625  0.250
Re  0.875  0.857  0.750
Re  0.375  0.393  0.750

Formation enthalpy at 0 K = 1515 meV/atom
Total moment = 0.000 Bohr magnetons per cell
N(E_F) = 1.151 states/eV/atom
Energy relative to the lowest polymorph listed for this composition = 1576 meV per atom



This record from the Alexandria database describes a geometry-optimized Re2NiRu structure. The functional is PBE.

Lattice parameters (Å, degrees): 4.290 2.720 4.706 90.00 90.00 90.00
Atoms (fractional coordinates):
Re  0.500  0.125  0.287
Re  0.000  0.125  0.951
Ni  0.500  0.625  0.795
Ru  0.000  0.625  0.467

Formation enthalpy at 0 K = -60 meV/atom
Total moment = 0.000 Bohr magnetons per cell
N(E_F) = 0.662 states/eV/atom
Energy relative to the lowest polymorph listed for this composition = 0 meV per atom



This record from the Alexandria database describes a geometry-optimized ReNi2Ru structure. The functional is PBE.

Lattice parameters (Å, degrees): 4.186 4.186 4.186 60.00 60.00 60.00
Atoms (fractional coordinates):
Re  0.500  0.500  0.500
Ru  0.750  0.750  0.750
Ni  0.000  0.000  0.000
Ni  0.250  0.250  0.250

Formation enthalpy at 0 K = 229 meV/atom
Total moment = 0.003 Bohr magnetons per cell
N(E_F) = 1.509 states/eV/atom
Energy relative to the lowest polymorph listed for this composition = 227 meV per atom



This record from the Alexandria database describes a geometry-optimized Re2NiRu structure. The functional is PBE.

Lattice parameters (Å, degrees): 3.132 3.132 5.655 90.00 90.00 90.00
Atoms (fractional coordinates):
Ni  0.500  0.500  0.756
Re  0.500  0.500  0.243
Re  0.000  0.000  0.979
Ru  0.000  0.000  0.522

Formation enthalpy at 0 K = 179 meV/atom
Total moment = 0.000 Bohr magnetons per cell
N(E_F) = 1.169 states/eV/atom
Energy relative to the lowest polymorph listed for this composition = 239 meV per atom



This record from the Alexandria database describes a geometry-optimized Re2NiRu structure. The functional is PBE.

Lattice parameters (Å, degrees): 4.629 4.629 4.695 81.17 81.17 33.91
Atoms (fractional coordinates):
Ni  0.252  0.252  0.243
Re  0.999  0.999  0.016
Re  0.752  0.752  0.740
Ru  0.497  0.497  0.501

Formation enthalpy at 0 K = 66 meV/atom
Total moment = 0.000 Bohr magnetons per cell
N(E_F) = 0.895 states/eV/atom
Energy relative to the lowest polymorph listed for this composition = 126 meV per atom



This record from the Alexandria database describes a geometry-optimized ReNi2Ru structure. The functional is PBE.

Lattice parameters (Å, degrees): 2.604 2.604 7.508 90.00 90.00 90.00
Each line ends with the local moment (μB).
Atoms (fractional coordinates):
Ru  0.500  0.500  0.750  0.17
Ni  0.000  0.000  0.501  0.08
Ni  0.000  0.000  0.998  0.08
Re  0.500  0.500  0.250  0.00

Formation enthalpy at 0 K = 120 meV/atom
Total moment = 0.332 Bohr magnetons per cell
N(E_F) = 1.692 states/eV/atom
Energy relative to the lowest polymorph listed for this composition = 118 meV per atom



This record from the Alexandria database describes a geometry-optimized Re3NiRu structure. The functional is PBE.

Lattice parameters (Å, degrees): 4.618 4.618 4.618 90.00 90.00 90.00
Atoms (fractional coordinates):
Re  0.500  0.000  0.000
Re  0.000  0.000  0.500
Re  0.000  0.500  0.000
Ni  0.500  0.500  0.500
Ru  0.000  0.000  0.000

Formation enthalpy at 0 K = 2398 meV/atom
Total moment = 0.000 Bohr magnetons per cell
N(E_F) = 1.357 states/eV/atom
Energy relative to the lowest polymorph listed for this composition = 621 meV per atom



This record from the Alexandria database describes a geometry-optimized Re2NiRu structure. The functional is PBE.

Lattice parameters (Å, degrees): 4.624 4.624 4.624 130.90 130.90 71.97
Atoms (fractional coordinates):
Re  0.000  0.000  0.000
Re  0.250  0.750  0.500
Ru  0.500  0.500  0.000
Ni  0.750  0.250  0.500

Formation enthalpy at 0 K = 56 meV/atom
Total moment = 0.000 Bohr magnetons per cell
N(E_F) = 0.934 states/eV/atom
Energy relative to the lowest polymorph listed for this composition = 117 meV per atom



This record from the Alexandria database describes a geometry-optimized ReNi2Ru structure. The functional is PBE.

Lattice parameters (Å, degrees): 4.539 4.539 2.635 90.00 90.00 110.53
Atoms (fractional coordinates):
Ni  0.500  0.500  0.000
Ni  0.000  0.000  0.000
Ru  0.000  0.500  0.500
Re  0.500  0.000  0.500

Formation enthalpy at 0 K = 117 meV/atom
Total moment = 0.000 Bohr magnetons per cell
N(E_F) = 1.586 states/eV/atom
Energy relative to the lowest polymorph listed for this composition = 115 meV per atom



This record from the Alexandria database describes a geometry-optimized ReNi2Ru structure. The functional is PBE.

Lattice parameters (Å, degrees): 8.556 8.556 8.556 18.01 18.01 18.01
Each line ends with the local moment (μB).
Atoms (fractional coordinates):
Re  0.501  0.501  0.501  0.00
Ru  0.749  0.749  0.749  -0.01
Ni  0.997  0.997  0.997  0.29
Ni  0.252  0.252  0.252  0.30

Formation enthalpy at 0 K = 109 meV/atom
Total moment = 0.552 Bohr magnetons per cell
N(E_F) = 1.323 states/eV/atom
Energy relative to the lowest polymorph listed for this composition = 107 meV per atom



Number 1: total energy -8.26 eV per atom. Number 2: total energy -8.90 eV per atom. Number 3: total energy -9.90 eV per atom. Number 4: total energy -9.69 eV per atom. Number 5: total energy -8.47 eV per atom. Number 6: total energy -10.05 eV per atom. Number 7: total energy -8.09 eV per atom. Number 8: total energy -9.81 eV per atom. Number 9: total energy -9.92 eV per atom. Number 10: total energy -8.20 eV per atom. Number 11: total energy -8.08 eV per atom. Number 12: total energy -9.93 eV per atom. Number 13: total energy -8.21 eV per atom. Number 14: total energy -8.21 eV per atom.